A geometry-optimized Th2TeN structure. Source: Alexandria via LeMat-Bulk, functional GGA-PBE.

Unit cell a=3.8264 b=3.8264 c=7.8380 alpha=75.87 beta=75.87 gamma=60.00
Site moments in Bohr magnetons follow the coordinates.
Fractional coordinates of all 4 atoms:
Th 0.0621 0.0621 0.8138  0.06
Th 0.2723 0.2723 0.1830  0.18
Te 0.4994 0.4994 0.5017  -0.01
N 0.6662 0.6662 0.0015  0.02

Values from the calculation:
* DOS(E_F): 0.82 states/eV/atom
* distance to the lowest polymorph of the same formula: 30 meV per atom
* space group: R3m

---

A geometry-optimized Th2TeN structure. Source: Alexandria via LeMat-Bulk, functional GGA-PBE.

Unit cell a=4.1003 b=5.0062 c=10.5043 alpha=90.00 beta=90.00 gamma=90.00
Fractional coordinates of all 8 atoms:
N 0.2009 0.7937 0.2231
N 0.7011 0.2937 0.9928
Th 0.2009 0.0329 0.4024
Th 0.7009 0.5660 0.1843
Th 0.2010 0.0660 0.0317
Th 0.7011 0.5329 0.8136
Te 0.2011 0.0407 0.7230
Te 0.7009 0.5407 0.4930

Values from the calculation:
* DOS(E_F): 0.62 states/eV/atom
* distance to the lowest polymorph of the same formula: 66 meV per atom
* space group: Pmn2_1

---

A geometry-optimized Th3TeN3 structure. Source: Alexandria via LeMat-Bulk, functional GGA-PBE.

Unit cell a=7.0245 b=7.0245 c=8.6641 alpha=66.09 beta=66.09 gamma=60.00
Fractional coordinates of all 14 atoms:
Te 0.3334 0.3334 0.9999
Te 0.6666 0.6666 0.0001
N 0.1268 0.4603 0.6200
N 0.4603 0.7929 0.6200
N 0.7929 0.1268 0.6200
N 0.5397 0.2071 0.3800
N 0.8732 0.5397 0.3800
N 0.2071 0.8732 0.3800
Th 0.7696 0.4392 0.6877
Th 0.5608 0.8964 0.3123
Th 0.1036 0.7696 0.6877
Th 0.4392 0.1036 0.6877
Th 0.2304 0.5608 0.3123
Th 0.8964 0.2304 0.3123

Values from the calculation:
* DOS(E_F): 0.24 states/eV/atom
* space group: R-3

---

A geometry-optimized Th5Te5N2 structure. Source: Alexandria via LeMat-Bulk, functional GGA-PBE.

Unit cell a=4.0083 b=7.4864 c=11.3621 alpha=99.62 beta=90.00 gamma=105.53
Fractional coordinates of all 12 atoms:
Te 0.5000 0.0000 0.5000
Te 0.3284 0.6569 0.9062
Te 0.6716 0.3431 0.0938
Te 0.7804 0.5609 0.3869
Te 0.2196 0.4391 0.6131
N 0.0418 0.0836 0.8029
N 0.9582 0.9164 0.1971
Th 0.0986 0.1973 0.3311
Th 0.3668 0.7336 0.2093
Th 0.0000 0.0000 0.0000
Th 0.6332 0.2664 0.7907
Th 0.9014 0.8027 0.6689

Values from the calculation:
* DOS(E_F): 0.59 states/eV/atom
* space group: C2/m

---

Number 1: E_form (uncorrected) -1.22 eV/atom, mass density 10.55 g cm⁻³, raw total energy -31.2 eV/f.u.. Number 2: E_form (uncorrected) -1.18 eV/atom, mass density 9.33 g cm⁻³, raw total energy -31.0 eV/f.u.. Number 3: E_form (uncorrected) -1.63 eV/atom, mass density 8.79 g cm⁻³, raw total energy -61.8 eV/f.u.. Number 4: E_form (uncorrected) -1.31 eV/atom, mass density 9.37 g cm⁻³, raw total energy -85.2 eV/f.u..